The following is a PBE-GGA calculation of Tm3CuAu2 after structural relaxation, from Alexandria.

Properties
Size of the total moment in μB per atom: 0.000
Formation energy from the elements in eV per atom: -0.691

Cell lengths 4.9671, 4.9671, 12.2282 Å; angles 90.00, 90.00, 120.00 degrees
Closest atoms and distances in Å follow each position.
Sites, in units of the cell vectors:
Tm 0.0000 0.0000 0.2464  5 Au 3.01-3.10, 3 Cu 3.03
Tm 0.0000 0.0000 0.7536  5 Au 3.01-3.10, 3 Cu 3.03
Tm 0.3333 0.6667 0.4145  1 Cu 3.02, 7 Au 3.05-3.18
Tm 0.3333 0.6667 0.9184  4 Au 2.98-3.04, 4 Cu 3.05
Tm 0.6667 0.3333 0.0816  4 Au 2.98-3.04, 4 Cu 3.05
Tm 0.6667 0.3333 0.5855  1 Cu 3.02, 7 Au 3.05-3.18
Cu 0.3333 0.6667 0.1675  8 Tm 3.02-3.05
Cu 0.6667 0.3333 0.8325  8 Tm 3.02-3.05
Au 0.0000 0.0000 0.0000  8 Tm 3.01-3.04
Au 0.0000 0.0000 0.5000  8 Tm 3.05-3.10
Au 0.3333 0.6667 0.6748  8 Tm 2.98-3.18
Au 0.6667 0.3333 0.3252  8 Tm 2.98-3.18

The following is a PBE-GGA calculation of NbAgW2 after structural relaxation, from Alexandria.

Properties
Size of the total moment in μB per atom: 0.000
Formation energy from the elements in eV per atom: 0.666

Cell lengths 4.5798, 4.5798, 4.5798 Å; angles 60.00, 60.00, 60.00 degrees
Closest atoms and distances in Å follow each position.
Sites, in units of the cell vectors:
Nb 0.0000 0.0000 0.0000  8 W 2.80
Ag 0.5000 0.5000 0.5000  8 W 2.80
W 0.2500 0.2500 0.2500  4 Nb 2.80, 4 Ag 2.80
W 0.7500 0.7500 0.7500  4 Nb 2.80, 4 Ag 2.80

The following is a PBE-GGA calculation of Nd7Al2Tl2 after structural relaxation, from Alexandria.

Properties
Size of the total moment in μB per atom: 0.000
Formation energy from the elements in eV per atom: -0.015

Cell lengths 6.8537, 6.8537, 8.1667 Å; angles 90.00, 90.00, 110.12 degrees
Closest atoms and distances in Å follow each position.
Sites, in units of the cell vectors:
Nd 0.0000 0.0000 0.0000  2 Tl 3.32
Nd 0.0000 0.5000 0.2987  2 Tl 3.17, 3 Nd 3.29-3.43, 2 Al 3.32
Nd 0.0000 0.5000 0.7013  2 Tl 3.17, 3 Nd 3.29-3.43, 2 Al 3.32
Nd 0.5000 0.0000 0.2987  2 Tl 3.17, 3 Nd 3.29-3.43, 2 Al 3.32
Nd 0.5000 0.0000 0.7013  2 Tl 3.17, 3 Nd 3.29-3.43, 2 Al 3.32
Nd 0.5000 0.5000 0.2783  2 Al 3.19, 2 Tl 3.23, 4 Nd 3.43
Nd 0.5000 0.5000 0.7217  2 Al 3.19, 2 Tl 3.23, 4 Nd 3.43
Al 0.1652 0.1652 0.5000  1 Al 2.59
Al 0.8348 0.8348 0.5000  1 Al 2.59
Tl 0.2956 0.7044 0.0000  7 Nd 3.17-3.32
Tl 0.7044 0.2956 0.0000  7 Nd 3.17-3.32

The following is a PBE-GGA calculation of Sc12AgPd6 after structural relaxation, from Alexandria.

Properties
Size of the total moment in μB per atom: 0.000
Formation energy from the elements in eV per atom: -0.477

Cell lengths 8.0121, 8.0121, 8.0121 Å; angles 110.70, 110.70, 110.70 degrees
Closest atoms and distances in Å follow each position.
Sites, in units of the cell vectors:
Sc 0.1166 0.1752 0.7323  5 Pd 2.79-3.10, 3 Sc 2.92-3.04
Sc 0.1752 0.7323 0.1166  5 Pd 2.79-3.10, 3 Sc 2.92-3.04
Sc 0.1930 0.3633 0.4777  3 Pd 2.68-2.99, 3 Sc 2.92-3.00
Sc 0.2677 0.8834 0.8248  5 Pd 2.79-3.10, 3 Sc 2.92-3.04
Sc 0.3633 0.4777 0.1930  3 Pd 2.68-2.99, 3 Sc 2.92-3.00
Sc 0.4777 0.1930 0.3633  3 Pd 2.68-2.99, 3 Sc 2.92-3.00
Sc 0.5223 0.8070 0.6367  3 Pd 2.68-2.99, 3 Sc 2.92-3.00
Sc 0.6367 0.5223 0.8070  3 Pd 2.68-2.99, 3 Sc 2.92-3.00
Sc 0.7323 0.1166 0.1752  5 Pd 2.79-3.10, 3 Sc 2.92-3.04
Sc 0.8070 0.6367 0.5223  3 Pd 2.68-2.99, 3 Sc 2.92-3.00
Sc 0.8248 0.2677 0.8834  5 Pd 2.79-3.10, 3 Sc 2.92-3.04
Sc 0.8834 0.8248 0.2677  5 Pd 2.79-3.10, 3 Sc 2.92-3.04
Ag 0.0000 0.0000 0.0000  12 Sc 3.17-3.20
Pd 0.0507 0.5751 0.3404  6 Sc 2.68-2.99
Pd 0.3404 0.0507 0.5751  6 Sc 2.68-2.99
Pd 0.4249 0.6596 0.9493  6 Sc 2.68-2.99
Pd 0.5751 0.3404 0.0507  6 Sc 2.68-2.99
Pd 0.6596 0.9493 0.4249  6 Sc 2.68-2.99
Pd 0.9493 0.4249 0.6596  6 Sc 2.68-2.99

The following is a PBE-GGA calculation of Nb2Ge2Cl after structural relaxation, from Alexandria.

Properties
Size of the total moment in μB per atom: 0.000
Formation energy without anion corrections in eV/atom: 0.2062

Cell lengths 5.5856, 5.5856, 5.5856 Å; angles 128.93, 128.93, 75.12 degrees
Closest atoms and distances in Å follow each position.
Sites, in units of the cell vectors:
Nb 0.2500 0.7500 0.5000  4 Ge 2.61
Nb 0.7500 0.2500 0.5000  4 Ge 2.61
Ge 0.1370 0.1370 0.0000  1 Ge 2.43, 4 Nb 2.61
Ge 0.8630 0.8630 0.0000  1 Ge 2.43, 4 Nb 2.61
Cl 0.5000 0.5000 0.0000  2 Ge 3.21, 8 Nb 3.27

The following is a PBE-GGA calculation of NbP2IrS after structural relaxation, from Alexandria.

Properties
Size of the total moment in μB per atom: 0.400
Formation energy without anion corrections in eV/atom: 0.7743

Cell lengths 4.4915, 4.4915, 4.8726 Å; angles 90.00, 90.00, 90.00 degrees
Closest atoms and distances in Å follow each position.
Sites, in units of the cell vectors:
Nb 0.0000 0.0000 0.0000  4 S 3.18, 8 P 3.31
P 0.0000 0.5000 0.5000  2 Ir 2.25
P 0.5000 0.0000 0.5000  2 Ir 2.25
Ir 0.5000 0.5000 0.5000  4 P 2.25, 2 S 2.44
S 0.5000 0.5000 0.0000  2 Ir 2.44

The following is a PBE-GGA calculation of Er3Al2Ga7 after structural relaxation, from Alexandria.

Properties
Size of the total moment in μB per atom: 0.000
Formation energy from the elements in eV per atom: -0.441

Cell lengths 13.8590, 13.8590, 4.1176 Å; angles 90.00, 90.00, 162.58 degrees
Closest atoms and distances in Å follow each position.
Sites, in units of the cell vectors:
Er 0.0000 0.0000 0.0000  12 Ga 2.94-3.07
Er 0.1813 0.8187 0.0000  4 Al 3.15, 10 Ga 3.21-3.44
Er 0.8187 0.1813 0.0000  4 Al 3.15, 10 Ga 3.21-3.44
Al 0.3600 0.6400 0.5000  5 Ga 2.42-2.62
Al 0.6400 0.3600 0.5000  5 Ga 2.42-2.62
Ga 0.0830 0.9170 0.5000  2 Al 2.62
Ga 0.2717 0.7283 0.5000  2 Ga 2.41, 1 Al 2.42
Ga 0.4182 0.5818 0.0000  2 Al 2.60
Ga 0.5000 0.5000 0.5000  4 Er 2.94, 8 Ga 3.04-3.09
Ga 0.5818 0.4182 0.0000  2 Al 2.60
Ga 0.7283 0.2717 0.5000  2 Ga 2.41, 1 Al 2.42
Ga 0.9170 0.0830 0.5000  2 Al 2.62

The following is a PBE-GGA calculation of VPtW after structural relaxation, from Alexandria.

Properties
Size of the total moment in μB per atom: 0.000
Formation energy from the elements in eV per atom: -0.028

Cell lengths 4.5097, 4.5097, 2.6297 Å; angles 90.00, 90.00, 120.00 degrees
Closest atoms and distances in Å follow each position.
Sites, in units of the cell vectors:
V 0.0000 0.0000 0.0000  2 V 2.63, 6 Pt 2.92, 6 W 2.92
Pt 0.6667 0.3333 0.5000  3 W 2.60, 2 Pt 2.63
W 0.3333 0.6667 0.5000  3 Pt 2.60, 2 W 2.63

The following is a PBE-GGA calculation of Ac6AgIr2 after structural relaxation, from Alexandria.

Properties
Size of the total moment in μB per atom: 0.000
Formation energy from the elements in eV per atom: -0.408

Cell lengths 7.2142, 7.2142, 12.4855 Å; angles 109.15, 109.15, 35.50 degrees
Closest atoms and distances in Å follow each position.
Sites, in units of the cell vectors:
Ac 0.0183 0.0183 0.2653  2 Ir 2.96, 1 Ag 3.23
Ac 0.3169 0.3169 0.8932  1 Ir 2.91
Ac 0.3281 0.3281 0.4220  3 Ir 3.01-3.03
Ac 0.6719 0.6719 0.5780  3 Ir 3.01-3.03
Ac 0.6831 0.6831 0.1068  1 Ir 2.91
Ac 0.9817 0.9817 0.7347  2 Ir 2.96, 1 Ag 3.23
Ag 0.0000 0.0000 0.0000  6 Ac 3.23-3.26
Ir 0.3290 0.3290 0.6651  6 Ac 2.91-3.03
Ir 0.6710 0.6710 0.3349  6 Ac 2.91-3.03

The following is a PBE-GGA calculation of CaAcErLu after structural relaxation, from Alexandria.

Properties
Size of the total moment in μB per atom: 0.002
Formation energy from the elements in eV per atom: 0.134

Cell lengths 5.8711, 5.8711, 5.8711 Å; angles 60.00, 60.00, 60.00 degrees
Closest atoms and distances in Å follow each position.
Sites, in units of the cell vectors:
Ca 0.0000 0.0000 0.0000  4 Er 3.60, 4 Ac 3.60
Ac 0.2500 0.2500 0.2500  4 Ca 3.60, 4 Lu 3.60
Er 0.7500 0.7500 0.7500  4 Ca 3.60, 4 Lu 3.60
Lu 0.5000 0.5000 0.5000  4 Er 3.60, 4 Ac 3.60

The following is a PBE-GGA calculation of KY2Fe2 after structural relaxation, from Alexandria.

Properties
Size of the total moment in μB per atom: 0.838
Formation energy from the elements in eV per atom: 0.356

Cell lengths 12.0071, 12.0071, 12.0071 Å; angles 163.26, 163.26, 23.76 degrees
Closest atoms and distances in Å follow each position.
Sites, in units of the cell vectors:
K 0.0000 0.0000 0.0000  4 K 3.50
Y 0.3458 0.3458 0.0000  4 Fe 2.85
Y 0.6542 0.6542 0.0000  4 Fe 2.85
Fe 0.2500 0.7500 0.5000  4 Fe 2.47
Fe 0.7500 0.2500 0.5000  4 Fe 2.47

The following is a PBE-GGA calculation of CaLa2Sn2Hg2 after structural relaxation, from Alexandria.

Properties
Size of the total moment in μB per atom: 0.000
Formation energy from the elements in eV per atom: -0.382

Cell lengths 9.8696, 9.8696, 9.8696 Å; angles 29.97, 29.97, 29.97 degrees
Closest atoms and distances in Å follow each position.
Sites, in units of the cell vectors:
Ca 0.0000 0.0000 0.0000  6 Sn 3.51, 2 La 3.69, 6 Hg 3.85
La 0.1304 0.1304 0.1304  3 Hg 3.18, 3 Sn 3.44
La 0.8696 0.8696 0.8696  3 Hg 3.18, 3 Sn 3.44
Sn 0.2655 0.2655 0.2655  3 Hg 3.00
Sn 0.7345 0.7345 0.7345  3 Hg 3.00
Hg 0.4212 0.4212 0.4212  3 Sn 3.00, 3 La 3.18
Hg 0.5788 0.5788 0.5788  3 Sn 3.00, 3 La 3.18

Looking at E for the records above, in order, we have -4.702, -9.041, -4.160, -6.266, -6.038, -6.001, -3.971, -9.399, -5.432, -3.665, -5.834, -3.306 eV/atom.